Crystalline SnPdCl2 at its relaxed geometry, computed with PBE.

Cell and atoms, written as POSCAR:
```
SnPdCl2
1.0
-3.830 -3.061 -0.411
-3.826 0.422 3.064
-4.316 1.670 -1.669
Sn Cl Pd
1 2 1
Cartesian
-5.986 -0.485 0.492 Sn
-2.993 -0.242 0.246 Cl
-8.979 -0.727 0.738 Cl
0.000 0.000 0.000 Pd
```

Total magnetization, μB per cell: 0.00
E above lowest polymorph, kJ per mole of atoms: 4.7
SG: Fm-3m, No. 225
N(E_F), states/eV/f.u.: 0.00
Formation energy from raw total energies, kJ per mole of atoms: -23.1

***

Crystalline SnPd3Cl at its relaxed geometry, computed with PBE.

Cell and atoms, written as POSCAR:
```
SnPd3Cl
1.0
4.664 0.000 0.000
0.000 4.664 0.000
0.000 0.000 4.664
Pd Cl Sn
3 1 1
Cartesian
2.332 0.000 0.000 Pd
0.000 0.000 2.332 Pd
0.000 2.332 0.000 Pd
0.000 0.000 0.000 Cl
2.332 2.332 2.332 Sn
```

Total magnetization, μB per cell: 0.00
E above lowest polymorph, kJ per mole of atoms: 0.0
SG: Pm-3m, No. 221
N(E_F), states/eV/f.u.: 2.76
Formation energy from raw total energies, kJ per mole of atoms: 25.1

***

Crystalline SnPdCl2 at its relaxed geometry, computed with PBE.

Cell and atoms, written as POSCAR:
```
SnPdCl2
1.0
4.840 3.152 6.889
7.416 2.227 4.568
5.782 5.407 4.261
Pd Sn Cl
1 1 2
Cartesian
9.019 5.393 7.859 Pd
0.000 0.000 0.000 Sn
16.112 9.635 14.040 Cl
1.927 1.152 1.679 Cl
```

Total magnetization, μB per cell: 1.19
E above lowest polymorph, kJ per mole of atoms: 8.5
SG: R-3m, No. 166
N(E_F), states/eV/f.u.: 3.76
Formation energy from raw total energies, kJ per mole of atoms: -19.2

***

Crystalline Sn3PdCl at its relaxed geometry, computed with PBE.

Cell and atoms, written as POSCAR:
```
Sn3PdCl
1.0
5.272 0.000 0.000
0.000 5.272 0.000
0.000 0.000 5.272
Sn Cl Pd
3 1 1
Cartesian
0.000 2.636 0.000 Sn
2.636 0.000 0.000 Sn
0.000 0.000 2.636 Sn
0.000 0.000 0.000 Cl
2.636 2.636 2.636 Pd
```

Total magnetization, μB per cell: 0.00
E above lowest polymorph, kJ per mole of atoms: 63.4
SG: Pm-3m, No. 221
N(E_F), states/eV/f.u.: 5.10
Formation energy from raw total energies, kJ per mole of atoms: 56.3

***

Crystalline SnPdCl2 at its relaxed geometry, computed with PBE.

Cell and atoms, written as POSCAR:
```
SnPdCl2
1.0
-3.525 1.288 8.388
-0.973 3.688 8.360
-4.088 4.427 6.938
Cl Pd Sn
2 1 1
Cartesian
-7.847 8.593 21.646 Cl
-0.739 0.810 2.039 Cl
0.000 0.000 0.000 Pd
-4.293 4.701 11.843 Sn
```

Total magnetization, μB per cell: 0.00
E above lowest polymorph, kJ per mole of atoms: 2.0
SG: R-3m, No. 166
N(E_F), states/eV/f.u.: 0.03
Formation energy from raw total energies, kJ per mole of atoms: -25.8

***

Crystalline SnPd3Cl at its relaxed geometry, computed with PBE.

Cell and atoms, written as POSCAR:
```
SnPd3Cl
1.0
5.009 0.000 0.000
0.000 5.009 0.000
0.000 0.000 5.009
Pd Sn Cl
3 1 1
Cartesian
2.504 0.000 0.000 Pd
0.000 0.000 2.504 Pd
0.000 2.504 0.000 Pd
0.000 0.000 0.000 Sn
2.504 2.504 2.504 Cl
```

Total magnetization, μB per cell: 0.00
E above lowest polymorph, kJ per mole of atoms: 21.6
SG: Pm-3m, No. 221
N(E_F), states/eV/f.u.: 1.20
Formation energy from raw total energies, kJ per mole of atoms: 46.7

***

Crystalline Sn3PdCl at its relaxed geometry, computed with PBE.

Cell and atoms, written as POSCAR:
```
Sn3PdCl
1.0
-0.667 -3.540 -3.841
4.089 -2.763 1.837
-3.250 -2.749 3.099
Pd Sn Cl
1 3 1
Cartesian
0.000 0.000 0.000 Pd
-0.334 -1.770 -1.920 Sn
2.044 -1.382 0.919 Sn
-1.625 -1.375 1.550 Sn
0.086 -4.526 0.548 Cl
```

Total magnetization, μB per cell: 0.00
E above lowest polymorph, kJ per mole of atoms: 0.0
SG: Pm-3m, No. 221
N(E_F), states/eV/f.u.: 3.98
Formation energy from raw total energies, kJ per mole of atoms: -7.1

***

Crystalline SnPdCl6 at its relaxed geometry, computed with PBE.

Cell and atoms, written as POSCAR:
```
SnPdCl6
1.0
-2.378 2.748 4.416
-7.669 -1.612 0.999
-3.333 -4.823 4.815
Cl Pd Sn
6 1 1
Cartesian
-7.602 0.271 5.505 Cl
-8.179 -2.361 3.405 Cl
-3.397 0.731 3.743 Cl
-5.778 -3.958 4.725 Cl
-5.201 -1.326 6.825 Cl
-9.982 -4.419 6.487 Cl
-6.690 -1.844 5.115 Pd
0.000 0.000 0.000 Sn
```

Total magnetization, μB per cell: 0.07
SG: P-1, No. 2
Formation energy from raw total energies, kJ per mole of atoms: -65.7

***

Crystalline SnPdCl2 at its relaxed geometry, computed with PBE.

Cell and atoms, written as POSCAR:
```
SnPdCl2
1.0
4.733 0.000 0.000
0.000 4.733 0.000
2.367 2.367 8.585
Pd Cl Sn
2 4 2
Cartesian
2.367 2.367 0.000 Pd
2.367 4.733 4.292 Pd
3.411 1.183 2.146 Cl
3.550 3.689 6.439 Cl
1.322 3.550 2.146 Cl
5.917 5.778 6.439 Cl
0.000 0.000 0.000 Sn
4.733 2.367 4.292 Sn
```

Total magnetization, μB per cell: 0.00
E above lowest polymorph, kJ per mole of atoms: 0.0
SG: I-42d, No. 122
N(E_F), states/eV/f.u.: 0.00
Formation energy from raw total energies, kJ per mole of atoms: -27.8

***

Crystalline SnTePd2Cl at its relaxed geometry, computed with PBE.

Cell and atoms, written as POSCAR:
```
SnTePd2Cl
1.0
-5.071 0.119 0.718
-0.180 -5.542 -0.357
0.708 -0.349 5.061
Pd Cl Sn Te
2 1 1 1
Cartesian
-2.535 0.059 0.359 Pd
0.354 -0.174 2.531 Pd
-2.271 -2.886 2.711 Cl
0.000 0.000 0.000 Sn
-0.090 -2.771 -0.178 Te
```

Total magnetization, μB per cell: 0.00
SG: P4/mmm, No. 123
N(E_F), states/eV/f.u.: 4.42
Formation energy from raw total energies, kJ per mole of atoms: 50.3

***

Crystalline TiSnPdCl2 at its relaxed geometry, computed with PBE.

Cell and atoms, written as POSCAR:
```
TiSnPdCl2
1.0
4.523 0.000 0.000
0.000 6.119 0.000
0.000 0.000 4.523
Cl Pd Ti Sn
2 1 1 1
Cartesian
0.000 0.000 2.261 Cl
2.261 0.000 0.000 Cl
2.261 3.059 2.261 Pd
0.000 0.000 0.000 Ti
0.000 3.059 0.000 Sn
```

Total magnetization, μB per cell: 1.21
SG: P4/mmm, No. 123
N(E_F), states/eV/f.u.: 4.68
Formation energy from raw total energies, kJ per mole of atoms: -25.7

***

Crystalline SnPdWCl2 at its relaxed geometry, computed with PBE.

Cell and atoms, written as POSCAR:
```
SnPdWCl2
1.0
-4.494 1.008 -0.647
-1.036 -1.195 5.336
0.828 4.429 1.153
Cl Pd W Sn
2 1 1 1
Cartesian
-2.247 0.504 -0.323 Cl
0.414 2.215 0.576 Cl
0.000 0.000 0.000 Pd
-0.518 -0.598 2.668 W
-2.351 2.121 2.921 Sn
```

Total magnetization, μB per cell: 3.27
SG: P4/mmm, No. 123
N(E_F), states/eV/f.u.: 4.31
Formation energy from raw total energies, kJ per mole of atoms: 80.7